# 1
# Cs2BaUSe4

A geometry-optimized Cs2BaUSe4 structure (PBE, Alexandria via LeMat-Bulk).

Output
**Raw formation energy**: -1438.5 meV per atom
**Magnetization**: 2.0 μB per formula unit
**Space-group type**: No. 10

Lattice parameters (Å, degrees): 8.0283 4.5050 8.7439 90.00 107.27 90.00
Sites, in units of the cell vectors:
1 Cs 0.0000 0.0000 0.0000
2 Cs 0.5000 0.5000 0.0000
3 Ba 0.0000 0.5000 0.5000
4 U 0.5000 0.0000 0.5000
5 Se 0.2736 0.0000 0.6930
6 Se 0.3008 0.5000 0.3151
7 Se 0.6992 0.5000 0.6849
8 Se 0.7264 0.0000 0.3070

---

# 2
# CsBa2USe6

A geometry-optimized CsBa2USe6 structure (PBE, Alexandria via LeMat-Bulk).

Output
**Raw formation energy**: -1348.6 meV per atom
**Magnetization**: 0.9 μB per formula unit
**Space-group type**: No. 14

Lattice parameters (Å, degrees): 7.8827 8.6900 12.6510 90.00 122.57 90.00
Sites, in units of the cell vectors:
1 Cs 0.0000 0.0000 0.0000
2 Cs 0.0000 0.5000 0.5000
3 Ba 0.1909 0.0833 0.7278
4 Ba 0.1909 0.4167 0.2278
5 Ba 0.8091 0.5833 0.7722
6 Ba 0.8091 0.9167 0.2722
7 U 0.5000 0.0000 0.5000
8 U 0.5000 0.5000 0.0000
9 Se 0.1728 0.1638 0.4479
10 Se 0.1728 0.3362 0.9479
11 Se 0.2625 0.7482 0.3916
12 Se 0.2625 0.7518 0.8916
13 Se 0.4560 0.0970 0.2863
14 Se 0.4560 0.4030 0.7863
15 Se 0.5440 0.5970 0.2137
16 Se 0.5440 0.9030 0.7137
17 Se 0.7375 0.2482 0.1084
18 Se 0.7375 0.2518 0.6084
19 Se 0.8272 0.6638 0.0521
20 Se 0.8272 0.8362 0.5521

---

# 3
# Cs4BaU3Se12

A geometry-optimized Cs4BaU3Se12 structure (PBE, Alexandria via LeMat-Bulk).

Output
**Raw formation energy**: -1187.4 meV per atom
**Magnetization**: 0.3 μB per formula unit
**Space-group type**: No. 229

Lattice parameters (Å, degrees): 9.7634 9.7634 9.7634 109.47 109.47 109.47
Sites, in units of the cell vectors:
1 Cs 0.0000 0.0000 0.5000
2 Cs 0.0000 0.5000 0.0000
3 Cs 0.5000 0.0000 0.0000
4 Cs 0.5000 0.5000 0.5000
5 Ba 0.0000 0.0000 0.0000
6 U 0.0000 0.5000 0.5000
7 U 0.5000 0.0000 0.5000
8 U 0.5000 0.5000 0.0000
9 Se 0.0000 0.2728 0.2728
10 Se 0.0000 0.7272 0.7272
11 Se 0.2500 0.5000 0.7500
12 Se 0.2500 0.7500 0.5000
13 Se 0.2728 0.0000 0.2728
14 Se 0.2728 0.2728 0.0000
15 Se 0.5000 0.2500 0.7500
16 Se 0.5000 0.7500 0.2500
17 Se 0.7272 0.0000 0.7272
18 Se 0.7272 0.7272 0.0000
19 Se 0.7500 0.2500 0.5000
20 Se 0.7500 0.5000 0.2500

---

# 4
# Cs2BaU2Se7

A geometry-optimized Cs2BaU2Se7 structure (PBE, Alexandria via LeMat-Bulk).

Output
**Raw formation energy**: -1342.0 meV per atom
**Magnetization**: 2.0 μB per formula unit
**Space-group type**: No. 139

Lattice parameters (Å, degrees): 14.9776 14.9776 14.9776 158.84 158.84 30.10
Sites, in units of the cell vectors:
1 Cs 0.1851 0.1851 0.0000
2 Cs 0.8149 0.8149 0.0000
3 Ba 0.0000 0.0000 0.0000
4 U 0.4052 0.4052 0.0000
5 U 0.5948 0.5948 0.0000
6 Se 0.0858 0.5858 0.5000
7 Se 0.3149 0.3149 0.0000
8 Se 0.4142 0.9142 0.5000
9 Se 0.5000 0.5000 0.0000
10 Se 0.5858 0.0858 0.5000
11 Se 0.6851 0.6851 0.0000
12 Se 0.9142 0.4142 0.5000

---

# 5
# Cs3Ba2USe6

A geometry-optimized Cs3Ba2USe6 structure (PBE, Alexandria via LeMat-Bulk).

Output
**Raw formation energy**: -1535.8 meV per atom
**Magnetization**: 1.0 μB per formula unit
**Space-group type**: No. 12

Lattice parameters (Å, degrees): 8.0435 8.0435 8.7382 98.88 98.88 119.86
Sites, in units of the cell vectors:
1 Cs 0.0000 0.0000 0.0000
2 Cs 0.3276 0.6724 0.0000
3 Cs 0.6724 0.3276 0.0000
4 Ba 0.1661 0.8339 0.5000
5 Ba 0.8339 0.1661 0.5000
6 U 0.5000 0.5000 0.5000
7 Se 0.1488 0.4359 0.3077
8 Se 0.2797 0.2797 0.6943
9 Se 0.4359 0.1488 0.3077
10 Se 0.5641 0.8512 0.6923
11 Se 0.7203 0.7203 0.3057
12 Se 0.8512 0.5641 0.6923

---

# 6
# Cs2BaUSe6

A geometry-optimized Cs2BaUSe6 structure (PBE, Alexandria via LeMat-Bulk).

Output
**Raw formation energy**: -1117.0 meV per atom
**Magnetization**: 0.8 μB per formula unit
**Space-group type**: No. 14

Lattice parameters (Å, degrees): 8.2947 8.2967 14.3572 90.00 125.22 90.00
Sites, in units of the cell vectors:
1 Cs 0.2500 0.9999 0.2501
2 Cs 0.2500 0.5001 0.7501
3 Cs 0.7500 0.0001 0.7499
4 Cs 0.7500 0.4999 0.2499
5 Ba 0.0000 0.0000 0.5000
6 Ba 0.0000 0.5000 0.0000
7 U 0.5000 0.0000 0.0000
8 U 0.5000 0.5000 0.5000
9 Se 0.2705 0.2253 0.9995
10 Se 0.2705 0.2747 0.4995
11 Se 0.2743 0.0001 0.7728
12 Se 0.2743 0.4999 0.2728
13 Se 0.2741 0.7290 0.4995
14 Se 0.2741 0.7710 0.9995
15 Se 0.7257 0.9999 0.2272
16 Se 0.7259 0.2290 0.0005
17 Se 0.7259 0.2710 0.5005
18 Se 0.7257 0.5001 0.7272
19 Se 0.7295 0.7253 0.5005
20 Se 0.7295 0.7747 0.0005

---

# 7
# CsBaVSe4

A geometry-optimized CsBaVSe4 structure (PBE, Alexandria via LeMat-Bulk).

Output
**Raw formation energy**: -1278.5 meV per atom
**Magnetization**: 0.0 μB per formula unit
**Space-group type**: No. 11

Lattice parameters (Å, degrees): 7.1801 7.2096 10.1941 90.00 108.10 90.00
Sites, in units of the cell vectors:
1 Cs 0.2043 0.2500 0.4242
2 Cs 0.7957 0.7500 0.5758
3 Ba 0.2706 0.2500 0.9632
4 Ba 0.7294 0.7500 0.0368
5 V 0.3143 0.7500 0.1919
6 V 0.6857 0.2500 0.8081
7 Se 0.1071 0.7500 0.3227
8 Se 0.1472 0.7500 0.9591
9 Se 0.4832 0.5034 0.7580
10 Se 0.4832 0.9966 0.7580
11 Se 0.5168 0.0034 0.2420
12 Se 0.5168 0.4966 0.2420
13 Se 0.8528 0.2500 0.0409
14 Se 0.8929 0.2500 0.6773

---

# 8
# Cs2BaZn2Se4

A geometry-optimized Cs2BaZn2Se4 structure (PBE, Alexandria via LeMat-Bulk).

Output
**Raw formation energy**: -1190.4 meV per atom
**Magnetization**: 0.0 μB per formula unit
**Space-group type**: No. 12

Lattice parameters (Å, degrees): 8.8980 8.8980 8.8543 111.50 111.50 28.66
Sites, in units of the cell vectors:
1 Cs 0.1282 0.1282 0.0555
2 Cs 0.8718 0.8718 0.9445
3 Ba 0.0000 0.0000 0.5000
4 Zn 0.3277 0.3277 0.5356
5 Zn 0.6723 0.6723 0.4644
6 Se 0.2095 0.2095 0.6428
7 Se 0.4693 0.4693 0.7407
8 Se 0.5307 0.5307 0.2593
9 Se 0.7905 0.7905 0.3572

---

# 9
# CsBaZnSe2

A geometry-optimized CsBaZnSe2 structure (PBE, Alexandria via LeMat-Bulk).

Output
**Raw formation energy**: -991.4 meV per atom
**Magnetization**: 0.0 μB per formula unit
**Space-group type**: No. 13

Lattice parameters (Å, degrees): 8.3920 5.3517 9.6018 90.00 100.61 90.00
Sites, in units of the cell vectors:
1 Cs 0.0000 0.1778 0.2500
2 Cs 0.0000 0.8222 0.7500
3 Ba 0.5000 0.4886 0.7500
4 Ba 0.5000 0.5114 0.2500
5 Zn 0.5000 0.0000 0.0000
6 Zn 0.5000 0.0000 0.5000
7 Se 0.2735 0.2824 0.9666
8 Se 0.2735 0.7176 0.4666
9 Se 0.7265 0.2824 0.5334
10 Se 0.7265 0.7176 0.0334

---

# 10
# CsBaSi

A geometry-optimized CsBaSi structure (PBE, Alexandria via LeMat-Bulk).

Output
**Raw formation energy**: 66.5 meV per atom
**Magnetization**: 0.2 μB per formula unit
**Space-group type**: No. 187

Lattice parameters (Å, degrees): 6.0129 6.0129 8.9893 90.00 90.00 120.00
Sites, in units of the cell vectors:
1 Cs 0.0000 0.0000 0.2418
2 Cs 0.0000 0.0000 0.7582
3 Ba 0.3333 0.6667 0.5000
4 Ba 0.6667 0.3333 0.0000
5 Si 0.3333 0.6667 0.1279
6 Si 0.3333 0.6667 0.8721

---

# 11
# CsBaSi3

A geometry-optimized CsBaSi3 structure (PBE, Alexandria via LeMat-Bulk).

Output
**Raw formation energy**: 1211.4 meV per atom
**Magnetization**: 0.0 μB per formula unit
**Space-group type**: No. 221

Lattice parameters (Å, degrees): 5.9862 5.9862 5.9862 90.00 90.00 90.00
Sites, in units of the cell vectors:
1 Cs 0.0000 0.0000 0.0000
2 Ba 0.5000 0.5000 0.5000
3 Si 0.0000 0.5000 0.5000
4 Si 0.5000 0.0000 0.5000
5 Si 0.5000 0.5000 0.0000

---

# 12
# CsBaSi3

A geometry-optimized CsBaSi3 structure (PBE, Alexandria via LeMat-Bulk).

Output
**Raw formation energy**: 1427.2 meV per atom
**Magnetization**: 0.0 μB per formula unit
**Space-group type**: No. 221

Lattice parameters (Å, degrees): 5.6661 5.6661 5.6661 90.00 90.00 90.00
Sites, in units of the cell vectors:
1 Cs 0.0000 0.0000 0.0000
2 Ba 0.5000 0.5000 0.5000
3 Si 0.0000 0.0000 0.5000
4 Si 0.0000 0.5000 0.0000
5 Si 0.5000 0.0000 0.0000